[1]
Computed, not measured: a relaxed structure of HoHfSc at the PBE-GGA level of DFT.

a = 3.3074 Å, b = 4.5616 Å, c = 10.1238 Å
α = 90.00°, β = 90.00°, γ = 90.00°
Positions (direct):
Ho 0.2500 0.2500 0.0962
Ho 0.7500 0.7500 0.9038
Hf 0.2500 0.2500 0.4266
Hf 0.7500 0.7500 0.5734
Sc 0.2500 0.2500 0.7277
Sc 0.7500 0.7500 0.2723

Results
Offset from the most stable computed form in meV/atom: 51
N(E_F) in states/eV/cell: 9.05
Energy of formation from the pure elements in eV/atom: 0.08
Calculated total energy in eV per atom: -6.87

***

[2]
Computed, not measured: a relaxed structure of HoHfSc2 at the PBE-GGA level of DFT.

a = 3.2636 Å, b = 3.2606 Å, c = 9.4340 Å
α = 90.00°, β = 90.05°, γ = 90.00°
Positions (direct):
Ho 0.0000 0.0000 0.0000
Hf 0.0000 0.0000 0.5000
Sc 0.4996 0.5000 0.2704
Sc 0.5004 0.5000 0.7296

Results
Offset from the most stable computed form in meV/atom: 1
N(E_F) in states/eV/cell: 6.49
Energy of formation from the pure elements in eV/atom: 0.07
Calculated total energy in eV per atom: -6.73

***

Q: offset from the most stable computed form of number 2 (HoHfSc2)?
A: 1 meV/atom